# 1
The following is a DFT calculation (PBE) of an optimized crystal structure of Li3Sm.

```
Li3Sm
1.0
-1.9550 3.7285 -2.9546
-5.0920 0.6809 -0.2481
-2.1497 4.1387 2.1686
Li Sm
3 1
Direct
0.2500 0.2500 0.2500
0.5000 0.5000 0.5000
0.7500 0.7500 0.7500
0.0000 0.0000 0.0000
```

Properties
**Energy**: -2.403 eV/atom
**Formation energy**: 81.8 kJ/mol of formula units

---

# 2
The following is a DFT calculation (PBE) of an optimized crystal structure of LiSm4.

```
LiSm4
1.0
5.4638 0.0000 0.0000
0.0000 5.4638 0.0000
0.0000 0.0000 5.4638
Sm Li
4 1
Direct
0.0000 0.5000 0.5000
0.5000 0.5000 0.0000
0.0000 0.0000 0.0000
0.5000 0.0000 0.5000
0.5000 0.5000 0.5000
```

Properties
**Energy**: -3.747 eV/atom
**Formation energy**: 198.5 kJ/mol of formula units

---

# 3
The following is a DFT calculation (PBE) of an optimized crystal structure of Li3Sm.

```
Li3Sm
1.0
-1.8381 -4.0363 1.3989
4.1949 -1.9933 -0.2393
0.8073 1.1673 4.4287
Li Sm
3 1
Direct
0.5000 0.0000 0.5000
0.5000 0.5000 0.0000
0.0000 0.5000 0.5000
0.0000 0.0000 0.0000
```

Properties
**Energy**: -2.347 eV/atom
**Formation energy**: 103.3 kJ/mol of formula units

---

# 4
The following is a DFT calculation (PBE) of an optimized crystal structure of Li6Sm.

```
Li6Sm
1.0
-0.6147 4.7157 -3.5825
-1.5566 -4.9398 -2.9369
-3.5028 0.6606 4.7691
Sm Li
1 6
Direct
0.0000 0.0000 0.0000
0.5000 0.7500 0.2500
0.7500 0.5000 0.2500
0.7500 0.2500 0.5000
0.2500 0.5000 0.7500
0.2500 0.7500 0.5000
0.5000 0.2500 0.7500
```

Properties
**Energy**: -1.952 eV/atom
**Formation energy**: 245.1 kJ/mol of formula units

---

- The highest energy belongs to which entry?
  Li6Sm

---

- Look up the energy of the third one.
  -2.347 eV/atom

---

- Which formula does entry 3 have?
  Li3Sm